1.
The following is a DFT calculation (GGA-PBE) of Re2SiBr after structural relaxation.

The calculation puts the theoretical density at 13.0 g/cm3. The value obtained for the uncorrected formation energy is 0.60 eV/atom. The total moment comes out at 0.000 μB/atom.

The structure belongs to space group R-3m (No. 166, hexagonal axes); the cell edges are 2.9227, 2.9227 and 24.9392 Å and the angles 90.00°, 90.00° and 120.00°. The inequivalent atoms are Re at (0.0000, 0.0000, 0.2439), Si at (0.0000, 0.0000, 0.5000) and Br at (0.0000, 0.0000, 0.0000).

***

2.
The following is a DFT calculation (GGA-PBE) of V2InAsPd after structural relaxation.

The calculation puts the theoretical density at 6.9 g/cm3. For the formation energy, the calculation gives 0.37 eV/atom. The total moment comes out at 0.000 μB/atom.

The structure belongs to space group P4/mmm (No. 123); the cell edges are 4.5448, 4.5448 and 4.6702 Å and the angles 90.00°, 90.00° and 90.00°. The inequivalent atoms are V at (0.0000, 0.5000, 0.0000), In at (0.0000, 0.0000, 0.5000), As at (0.5000, 0.5000, 0.0000) and Pd at (0.5000, 0.5000, 0.5000).

***

3.
The following is a DFT calculation (GGA-PBE) of CoAg2Br5 after structural relaxation.

The calculation puts the theoretical density at 4.1 g/cm3. The value obtained for the uncorrected formation energy is -0.28 eV/atom. The total moment comes out at 0.474 μB/atom.

The structure belongs to space group Pnnm (No. 58); the cell edges are 11.6504, 11.6728 and 8.1277 Å and the angles 90.00°, 90.00° and 90.00°. The inequivalent atoms are Co at (0.2430, 0.2388, 0.0000), Ag at (0.0000, 0.0000, 0.2567), Ag at (0.1195, 0.3517, 0.5000), Br at (0.0599, 0.1475, 0.0000), Br at (0.0979, 0.1245, 0.5000), Br at (0.1138, 0.5963, 0.5000) and Br at (0.2365, 0.8586, 0.2698).

***

4.
The following is a DFT calculation (GGA-PBE) of IrC3 after structural relaxation.

The calculation puts the theoretical density at 6.1 g/cm3. For the formation energy, the calculation gives 2.66 eV/atom. The total moment comes out at 0.498 μB/atom.

The structure belongs to space group Pm-3m (No. 221); the cell edges are 3.9684, 3.9684 and 3.9684 Å and the angles 90.00°, 90.00° and 90.00°. The inequivalent atoms are Ir at (0.0000, 0.0000, 0.0000) and C at (0.0000, 0.0000, 0.5000).

***

Question: Among the records above, which one has the highest total moment?
Answer: IrC3